1.
PaAlAgAu PBE optimized geometry; E_form = -74 kJ/mol of formula units
1.0
-3.443 -0.548 -3.421
1.242 -1.394 -4.514
-1.177 -4.467 -1.587
Al Ag Pa Au
1 1 1 1
Cartesian
0.000 0.000 0.000 Al
-0.845 -1.602 -2.381 Ag
-1.689 -3.205 -4.761 Pa
-2.534 -4.807 -7.142 Au

***

2.
TbEuAg4 PBE optimized geometry; E_form = -97 kJ/mol of formula units
1.0
-5.351 -2.104 -0.545
-0.805 -5.651 -0.886
-2.250 -3.287 4.182
Ag Eu Tb
4 1 1
Cartesian
-4.853 -4.074 2.164 Ag
-5.256 -6.903 1.720 Ag
-2.576 -5.850 1.993 Ag
-4.129 -5.257 -0.374 Ag
-2.102 -2.761 0.688 Eu
0.000 0.000 0.000 Tb

***

3.
ReTcBr3 PBE optimized geometry; E_form (uncorrected) = 1298 meV per atom; energy relative to the lowest polymorph listed for this composition = 0.00 kJ/mol of atoms
1.0
-1.330 3.413 3.744
1.442 -3.456 3.663
4.857 1.961 -0.062
Br Tc Re
3 1 1
Cartesian
0.721 -1.728 1.831 Br
2.429 0.980 -0.031 Br
-0.665 1.707 1.872 Br
0.000 0.000 0.000 Tc
2.484 0.959 3.673 Re

***

The records above yield magnetic moment values of 0.00; 7.37; 9.02 μB/cell, respectively.